A relaxed structure of NaMgHgBi, computed with PBE-GGA.

a b c (Å): 5.2539 5.2539 5.2539
angles (deg): 60.00 60.00 60.00
Element x y z (fractional)
Na: 0.0000 0.0000 0.0000
Mg: 0.5000 0.5000 0.5000
Bi: 0.2500 0.2500 0.2500
Hg: 0.7500 0.7500 0.7500

The final energy is -8.22 eV for the cell shown. As for the formation energy from the elements: -1.1 eV/f.u.